No. 1
This record from Alexandria via LeMat-Bulk describes an optimized crystal structure of MgTe2N2. The functional is GGA-PBE.

The uncorrected formation energy comes out at 0.917 eV per atom. The energy above the most stable polymorph in this dataset comes out at 58 meV/atom. The magnetization is 0.000 Bohr magnetons per cell. As for the density of states at the Fermi level: 2.69 states/eV per cell.

Cell lengths 4.014, 4.014, 6.657 Å; angles 72.45, 72.45, 90.00 degrees
Element x y z (fractional)
Te (0.336, 0.336, 0.329)
N (0.250, 0.750, 0.500)
N (0.750, 0.250, 0.500)
Mg (0.000, 0.000, 0.000)
Te (0.664, 0.664, 0.671)

No. 2
This record from Alexandria via LeMat-Bulk describes an optimized crystal structure of Mg2TiTeN. The functional is GGA-PBE.

The uncorrected formation energy comes out at -0.460 eV per atom. The magnetization is 2.067 Bohr magnetons per cell. As for the density of states at the Fermi level: 3.29 states/eV per cell.

Cell lengths 4.521, 4.217, 4.521 Å; angles 90.00, 90.00, 90.00 degrees
Element x y z (fractional)
Te (0.500, 0.500, 0.500)
Mg (0.000, 0.000, 0.500)
Mg (0.500, 0.000, 0.000)
Ti (0.000, 0.500, 0.000)
N (0.000, 0.000, 0.000)

No. 3
This record from Alexandria via LeMat-Bulk describes an optimized crystal structure of MgTiTe2N. The functional is GGA-PBE.

The uncorrected formation energy comes out at -0.211 eV per atom. The energy above the most stable polymorph in this dataset comes out at 0 meV/atom. The magnetization is 0.000 Bohr magnetons per cell. As for the density of states at the Fermi level: 4.40 states/eV per cell.

Cell lengths 5.612, 5.612, 3.737 Å; angles 90.00, 90.00, 90.00 degrees
Element x y z (fractional)
Mg (0.500, 0.500, 0.500)
N (0.000, 0.000, 0.500)
Te (0.500, 0.000, 0.000)
Te (0.000, 0.500, 0.000)
Ti (0.000, 0.000, 0.000)

No. 4
This record from Alexandria via LeMat-Bulk describes an optimized crystal structure of MgTiTe2N. The functional is GGA-PBE.

The uncorrected formation energy comes out at 0.603 eV per atom. The energy above the most stable polymorph in this dataset comes out at 814 meV/atom. The magnetization is 3.273 Bohr magnetons per cell. As for the density of states at the Fermi level: 5.73 states/eV per cell.

Cell lengths 5.554, 5.554, 3.846 Å; angles 90.00, 90.00, 90.00 degrees
Element x y z (fractional)
Mg (0.000, 0.000, 0.000)
N (0.000, 0.000, 0.500)
Te (0.000, 0.500, 0.000)
Ti (0.500, 0.500, 0.500)
Te (0.500, 0.000, 0.000)

No. 5
This record from Alexandria via LeMat-Bulk describes an optimized crystal structure of MgTlTe2N. The functional is GGA-PBE.

The uncorrected formation energy comes out at 0.446 eV per atom. The energy above the most stable polymorph in this dataset comes out at 0 meV/atom. The magnetization is 1.856 Bohr magnetons per cell. As for the density of states at the Fermi level: 5.18 states/eV per cell.

Cell lengths 6.013, 6.013, 3.904 Å; angles 90.00, 90.00, 90.00 degrees
Element x y z (fractional)
Mg (0.000, 0.000, 0.000)
Tl (0.500, 0.500, 0.500)
Te (0.500, 0.000, 0.000)
Te (0.000, 0.500, 0.000)
N (0.000, 0.000, 0.500)

No. 6
This record from Alexandria via LeMat-Bulk describes an optimized crystal structure of MgTlTeN2. The functional is GGA-PBE.

The uncorrected formation energy comes out at 1.097 eV per atom. The energy above the most stable polymorph in this dataset comes out at 0 meV/atom. The magnetization is 3.950 Bohr magnetons per cell. As for the density of states at the Fermi level: 2.37 states/eV per cell.

Cell lengths 4.356, 4.356, 6.033 Å; angles 90.00, 90.00, 90.00 degrees
Element x y z (fractional)
N (0.500, 0.000, 0.000)
Tl (0.500, 0.500, 0.500)
N (0.000, 0.500, 0.000)
Te (0.000, 0.000, 0.500)
Mg (0.000, 0.000, 0.000)

No. 7
This record from Alexandria via LeMat-Bulk describes an optimized crystal structure of MgTlTeN2. The functional is GGA-PBE.

The uncorrected formation energy comes out at 1.429 eV per atom. The energy above the most stable polymorph in this dataset comes out at 332 meV/atom. The magnetization is 3.036 Bohr magnetons per cell. As for the density of states at the Fermi level: 1.48 states/eV per cell.

Cell lengths 4.366, 4.366, 6.437 Å; angles 90.00, 90.00, 90.00 degrees
Element x y z (fractional)
Tl (0.000, 0.000, 0.000)
N (0.500, 0.000, 0.000)
Mg (0.500, 0.500, 0.500)
Te (0.000, 0.000, 0.500)
N (0.000, 0.500, 0.000)

No. 8
This record from Alexandria via LeMat-Bulk describes an optimized crystal structure of MgTlTe2N. The functional is GGA-PBE.

The uncorrected formation energy comes out at 0.917 eV per atom. The energy above the most stable polymorph in this dataset comes out at 471 meV/atom. The magnetization is 2.047 Bohr magnetons per cell. As for the density of states at the Fermi level: 3.75 states/eV per cell.

Cell lengths 5.928, 5.928, 4.270 Å; angles 90.00, 90.00, 90.00 degrees
Element x y z (fractional)
Tl (0.000, 0.000, 0.000)
N (0.000, 0.000, 0.500)
Te (0.500, 0.000, 0.000)
Mg (0.500, 0.500, 0.500)
Te (0.000, 0.500, 0.000)

No. 9
This record from Alexandria via LeMat-Bulk describes an optimized crystal structure of MgVTe2N. The functional is GGA-PBE.

The uncorrected formation energy comes out at -0.105 eV per atom. The energy above the most stable polymorph in this dataset comes out at 0 meV/atom. The magnetization is 0.692 Bohr magnetons per cell. As for the density of states at the Fermi level: 4.26 states/eV per cell.

Cell lengths 5.487, 5.487, 3.643 Å; angles 90.00, 90.00, 90.00 degrees
Element x y z (fractional)
V (0.000, 0.000, 0.000)
N (0.000, 0.000, 0.500)
Mg (0.500, 0.500, 0.500)
Te (0.000, 0.500, 0.000)
Te (0.500, 0.000, 0.000)

No. 10
This record from Alexandria via LeMat-Bulk describes an optimized crystal structure of MgVTeN2. The functional is GGA-PBE.

The uncorrected formation energy comes out at 0.123 eV per atom. The energy above the most stable polymorph in this dataset comes out at 0 meV/atom. The magnetization is 0.000 Bohr magnetons per cell. As for the density of states at the Fermi level: 2.54 states/eV per cell.

Cell lengths 3.854, 3.854, 5.583 Å; angles 90.00, 90.00, 90.00 degrees
Element x y z (fractional)
N (0.000, 0.500, 0.000)
N (0.500, 0.000, 0.000)
Te (0.000, 0.000, 0.500)
Mg (0.500, 0.500, 0.500)
V (0.000, 0.000, 0.000)

No. 11
This record from Alexandria via LeMat-Bulk describes an optimized crystal structure of MgVTeN2. The functional is GGA-PBE.

The uncorrected formation energy comes out at 1.513 eV per atom. The energy above the most stable polymorph in this dataset comes out at 1390 meV/atom. The magnetization is 0.001 Bohr magnetons per cell. As for the density of states at the Fermi level: 8.83 states/eV per cell.

Cell lengths 3.934, 3.934, 5.477 Å; angles 90.00, 90.00, 90.00 degrees
Element x y z (fractional)
N (0.000, 0.500, 0.000)
Mg (0.000, 0.000, 0.000)
N (0.500, 0.000, 0.000)
V (0.500, 0.500, 0.500)
Te (0.000, 0.000, 0.500)

No. 12
This record from Alexandria via LeMat-Bulk describes an optimized crystal structure of MgVTe2N. The functional is GGA-PBE.

The uncorrected formation energy comes out at 0.812 eV per atom. The energy above the most stable polymorph in this dataset comes out at 917 meV/atom. The magnetization is 4.598 Bohr magnetons per cell. As for the density of states at the Fermi level: 6.16 states/eV per cell.

Cell lengths 5.578, 5.578, 3.839 Å; angles 90.00, 90.00, 90.00 degrees
Element x y z (fractional)
V (0.500, 0.500, 0.500)
Mg (0.000, 0.000, 0.000)
N (0.000, 0.000, 0.500)
Te (0.500, 0.000, 0.000)
Te (0.000, 0.500, 0.000)

No. 13
This record from Alexandria via LeMat-Bulk describes an optimized crystal structure of YMgTeN2. The functional is GGA-PBE.

The uncorrected formation energy comes out at 0.445 eV per atom. The energy above the most stable polymorph in this dataset comes out at 0 meV/atom. The magnetization is 3.093 Bohr magnetons per cell. As for the density of states at the Fermi level: 2.61 states/eV per cell.

Cell lengths 4.417, 4.417, 6.328 Å; angles 90.00, 90.00, 90.00 degrees
Element x y z (fractional)
N (0.000, 0.500, 0.000)
Y (0.000, 0.000, 0.000)
Mg (0.500, 0.500, 0.500)
N (0.500, 0.000, 0.000)
Te (0.000, 0.000, 0.500)